## BaCoTe2 (PBE)

Data for a relaxed structure of BaCoTe2.

Cell: 3.543 3.543 9.729 Å, 90.00 90.00 90.00°
Space group P4mm (No. 99)
Symmetry-distinct sites (fractional):
1 Ba 0.000 0.000 0.000 x1
2 Co 0.500 0.500 0.269 x1
3 Te 0.000 0.000 0.354 x1
4 Te 0.500 0.500 0.751 x1

## PuAg2S3 (PBE)

Data for a relaxed structure of PuAg2S3.

## Properties
* distance to the lowest polymorph of the same formula: 3 meV per atom

Cell: 4.052 11.311 5.396 Å, 90.00 90.00 90.00°
Space group Pmmn (No. 59, origin choice 2)
Symmetry-distinct sites (fractional):
1 Pu 0.250 0.250 0.249 x2
2 Ag 0.250 0.590 0.251 x4
3 S 0.250 0.250 0.749 x2
4 S 0.250 0.589 0.751 x4

Number 1: raw formation energy -60 kJ/mol of formula units. Number 2: raw formation energy -412 kJ/mol of formula units.